Entry 1:
An optimized crystal structure of Tb3Dy2Ho2, computed with PBE-GGA.

Structure (POSCAR):
```
Tb3Dy2Ho2
1.0
3.450 -0.521 0.555
-0.332 11.610 1.689
1.065 1.319 5.886
Dy Tb Ho
2 3 2
direct
0.713 0.285 0.858 Dy
0.287 0.715 0.142 Dy
0.000 0.000 0.000 Tb
0.429 0.572 0.714 Tb
0.571 0.428 0.286 Tb
0.857 0.142 0.429 Ho
0.143 0.858 0.571 Ho
```

Summary:
The value obtained for the energy is -4.591 eV per atom. The value obtained for the density of states at the Fermi level is 8.806 states/eV/f.u. The symmetry is No. 12.

---

Entry 2:
An optimized crystal structure of Tb2Dy5Ho12, computed with PBE-GGA.

Structure (POSCAR):
```
Tb2Dy5Ho12
1.0
6.125 1.088 -0.283
-1.735 6.863 -5.574
-0.488 -0.170 13.657
Tb Ho Dy
2 12 5
direct
0.546 0.838 0.844 Tb
0.454 0.162 0.156 Tb
0.925 0.216 0.049 Ho
0.599 0.729 0.057 Ho
0.645 0.611 0.254 Ho
0.016 0.889 0.728 Ho
0.826 0.454 0.657 Ho
0.174 0.546 0.343 Ho
0.506 0.934 0.610 Ho
0.355 0.389 0.746 Ho
0.984 0.111 0.272 Ho
0.494 0.066 0.390 Ho
0.401 0.271 0.943 Ho
0.075 0.784 0.951 Ho
0.721 0.499 0.444 Dy
0.279 0.501 0.556 Dy
0.877 0.332 0.843 Dy
0.000 0.000 0.500 Dy
0.123 0.668 0.157 Dy
```

Summary:
The value obtained for the energy is -4.526 eV per atom. The value obtained for the density of states at the Fermi level is 29.864 states/eV/f.u. The symmetry is No. 2.

---

Entry 3:
An optimized crystal structure of Tb2Dy6Ho, computed with PBE-GGA.

Structure (POSCAR):
```
Tb2Dy6Ho
1.0
-4.799 0.706 -1.218
-2.984 -5.287 8.694
-0.059 9.069 5.495
Dy Tb Ho
12 4 2
direct
0.000 0.333 0.167 Dy
0.000 0.667 0.833 Dy
0.000 0.000 0.167 Dy
0.000 0.000 0.833 Dy
0.500 0.167 0.000 Dy
0.000 0.667 0.500 Dy
0.500 0.833 0.333 Dy
0.000 0.333 0.500 Dy
0.500 0.833 0.000 Dy
0.500 0.167 0.667 Dy
0.500 0.500 0.667 Dy
0.500 0.500 0.333 Dy
0.000 0.666 0.167 Tb
0.500 0.166 0.333 Tb
0.500 0.834 0.667 Tb
0.000 0.334 0.833 Tb
0.000 0.000 0.500 Ho
0.500 0.500 0.000 Ho
```

Summary:
The value obtained for the energy is -4.588 eV per atom. The value obtained for the density of states at the Fermi level is 10.822 states/eV/f.u. The symmetry is No. 136.

---

Entry 4:
An optimized crystal structure of Tb3Dy7Ho, computed with PBE-GGA.

Structure (POSCAR):
```
Tb3Dy7Ho
1.0
-1.627 -0.542 -5.521
-6.542 -1.233 5.086
-0.827 7.953 2.498
Dy Tb Ho
7 3 1
direct
0.209 0.207 0.207 Dy
0.701 0.000 0.401 Dy
0.701 0.401 0.000 Dy
0.299 0.000 0.599 Dy
0.791 0.793 0.793 Dy
0.299 0.599 0.000 Dy
0.000 0.500 0.500 Dy
0.500 0.000 0.000 Tb
0.000 0.208 0.792 Tb
0.000 0.792 0.208 Tb
0.500 0.500 0.500 Ho
```

Summary:
The value obtained for the energy is -4.337 eV per atom. The value obtained for the density of states at the Fermi level is 16.515 states/eV/f.u. The symmetry is No. 12.

---

Entry 5:
An optimized crystal structure of TbDy5Ho2, computed with PBE-GGA.

Structure (POSCAR):
```
TbDy5Ho2
1.0
4.990 0.000 0.000
0.000 7.068 0.000
0.000 0.000 14.137
Tb Dy Ho
2 10 4
direct
0.000 0.000 0.500 Tb
0.000 0.500 0.000 Tb
0.000 0.000 0.000 Dy
0.500 0.749 0.625 Dy
0.500 0.249 0.875 Dy
0.500 0.751 0.125 Dy
0.000 0.999 0.750 Dy
0.000 0.001 0.250 Dy
0.000 0.501 0.250 Dy
0.500 0.251 0.375 Dy
0.000 0.500 0.500 Dy
0.000 0.499 0.750 Dy
0.500 0.249 0.625 Ho
0.500 0.251 0.125 Ho
0.500 0.749 0.875 Ho
0.500 0.751 0.375 Ho
```

Summary:
The value obtained for the energy is -4.584 eV per atom. The value obtained for the density of states at the Fermi level is 9.190 states/eV/f.u. The symmetry is No. 55.

---

Entry 6:
An optimized crystal structure of Tb7Dy5Ho, computed with PBE-GGA.

Structure (POSCAR):
```
Tb7Dy5Ho
1.0
6.647 0.000 0.000
3.323 8.000 0.154
3.323 0.129 8.001
Tb Ho Dy
7 1 5
direct
0.481 0.848 0.190 Tb
0.481 0.190 0.848 Tb
0.231 0.269 0.269 Tb
0.980 0.349 0.690 Tb
0.425 0.575 0.575 Tb
0.980 0.690 0.349 Tb
0.731 0.269 0.269 Tb
0.038 0.962 0.962 Ho
0.998 0.998 0.542 Dy
0.462 0.542 0.998 Dy
0.998 0.542 0.998 Dy
0.462 0.998 0.542 Dy
0.731 0.769 0.769 Dy
```

Summary:
The value obtained for the energy is -4.361 eV per atom. The value obtained for the density of states at the Fermi level is 23.191 states/eV/f.u. The symmetry is No. 44.

---

Entry 7:
An optimized crystal structure of Tb3DyHo5, computed with PBE-GGA.

Structure (POSCAR):
```
Tb3DyHo5
1.0
-2.241 -8.120 4.224
3.696 -6.836 -5.330
7.197 -8.302 3.356
Ho Tb Dy
10 6 2
direct
0.152 0.654 0.748 Ho
0.258 0.742 0.000 Ho
0.184 0.184 0.039 Ho
0.742 0.258 0.000 Ho
0.492 0.492 0.230 Ho
0.508 0.508 0.770 Ho
0.816 0.816 0.961 Ho
0.346 0.848 0.252 Ho
0.848 0.346 0.252 Ho
0.654 0.152 0.748 Ho
0.695 0.695 0.814 Tb
0.000 0.000 0.500 Tb
0.000 0.000 0.000 Tb
0.305 0.305 0.186 Tb
0.659 0.659 0.361 Tb
0.341 0.341 0.639 Tb
0.849 0.849 0.401 Dy
0.151 0.151 0.599 Dy
```

Summary:
The value obtained for the energy is -4.070 eV per atom. The value obtained for the density of states at the Fermi level is 12.160 states/eV/f.u. The symmetry is No. 12.

---

Entry 8:
An optimized crystal structure of Tb9Dy3Ho2, computed with PBE-GGA.

Structure (POSCAR):
```
Tb9Dy3Ho2
1.0
0.047 -5.713 2.502
1.704 -9.488 -5.122
9.642 -6.201 -3.279
Tb Ho Dy
9 2 3
direct
0.322 0.351 0.984 Tb
0.612 0.007 0.597 Tb
0.674 0.675 0.996 Tb
0.971 0.389 0.574 Tb
0.242 0.661 0.562 Tb
0.711 0.366 0.399 Tb
0.778 0.516 0.795 Tb
0.404 0.994 0.402 Tb
0.210 0.493 0.205 Tb
0.503 0.162 0.801 Ho
0.556 0.841 0.202 Ho
0.022 0.006 0.003 Dy
0.135 0.869 0.769 Dy
0.860 0.172 0.211 Dy
```

Summary:
The value obtained for the energy is -4.508 eV per atom. The value obtained for the density of states at the Fermi level is 22.167 states/eV/f.u. The symmetry is No. 1.

---

Entry 9:
An optimized crystal structure of TbDy4Ho3, computed with PBE-GGA.

Structure (POSCAR):
```
TbDy4Ho3
1.0
5.486 0.000 -1.094
-0.064 3.523 -0.322
-0.222 1.201 13.195
Dy Tb Ho
4 1 3
direct
0.277 0.499 0.553 Dy
0.604 0.501 0.207 Dy
0.723 0.501 0.447 Dy
0.396 0.499 0.793 Dy
0.500 0.000 0.000 Tb
0.000 0.500 0.000 Ho
0.845 0.999 0.691 Ho
0.155 0.001 0.309 Ho
```

Summary:
The value obtained for the energy is -4.390 eV per atom. The value obtained for the density of states at the Fermi level is 11.789 states/eV/f.u. The symmetry is No. 65.

---

Entry 10:
An optimized crystal structure of Tb2Dy15Ho2, computed with PBE-GGA.

Structure (POSCAR):
```
Tb2Dy15Ho2
1.0
-4.097 7.021 -3.043
-4.032 -3.319 -6.932
-7.982 -1.243 3.174
Dy Tb Ho
15 2 2
direct
0.299 0.000 0.701 Dy
0.000 0.500 0.000 Dy
0.374 0.849 0.374 Dy
0.701 0.000 0.299 Dy
0.849 0.374 0.374 Dy
0.000 0.000 0.500 Dy
0.626 0.626 0.151 Dy
0.000 0.299 0.701 Dy
0.500 0.000 0.000 Dy
0.374 0.374 0.849 Dy
0.299 0.701 0.000 Dy
0.000 0.701 0.299 Dy
0.701 0.299 0.000 Dy
0.151 0.626 0.626 Dy
0.626 0.151 0.626 Dy
0.905 0.905 0.905 Tb
0.095 0.095 0.095 Tb
0.679 0.679 0.679 Ho
0.321 0.321 0.321 Ho
```

Summary:
The value obtained for the energy is -4.308 eV per atom. The value obtained for the density of states at the Fermi level is 32.315 states/eV/f.u. The symmetry is No. 166.

---

Entry 11:
An optimized crystal structure of Tb2Dy3Ho8, computed with PBE-GGA.

Structure (POSCAR):
```
Tb2Dy3Ho8
1.0
-1.533 -4.646 -0.964
7.179 -1.811 -2.734
4.327 -0.748 9.610
Ho Dy Tb
8 3 2
direct
0.615 0.077 0.230 Ho
0.077 0.385 0.154 Ho
0.846 0.231 0.692 Ho
0.154 0.769 0.308 Ho
0.692 0.461 0.385 Ho
0.385 0.923 0.770 Ho
0.923 0.615 0.846 Ho
0.308 0.539 0.615 Ho
0.461 0.308 0.923 Dy
0.000 0.000 0.000 Dy
0.539 0.692 0.077 Dy
0.769 0.846 0.538 Tb
0.231 0.154 0.462 Tb
```

Summary:
The value obtained for the energy is -4.572 eV per atom. The value obtained for the density of states at the Fermi level is 17.577 states/eV/f.u. The symmetry is No. 2.

---

Entry 12:
An optimized crystal structure of Tb3DyHo7, computed with PBE-GGA.

Structure (POSCAR):
```
Tb3DyHo7
1.0
8.313 -0.749 -2.838
-2.216 9.611 -0.626
-1.869 -0.094 5.158
Tb Ho Dy
3 7 1
direct
0.219 0.000 0.720 Tb
0.781 0.000 0.280 Tb
0.000 0.500 0.000 Tb
0.085 0.170 0.085 Ho
0.500 0.000 0.500 Ho
0.820 0.640 0.320 Ho
0.915 0.830 0.915 Ho
0.645 0.290 0.145 Ho
0.180 0.360 0.680 Ho
0.355 0.710 0.855 Ho
0.500 0.500 0.500 Dy
```

Summary:
The value obtained for the energy is -4.444 eV per atom. The value obtained for the density of states at the Fermi level is 17.835 states/eV/f.u. The symmetry is No. 10.

---

Entry 13:
An optimized crystal structure of Tb2Dy5Ho6, computed with PBE-GGA.

Structure (POSCAR):
```
Tb2Dy5Ho6
1.0
3.551 0.000 0.000
0.000 11.551 0.000
0.000 0.000 20.089
Tb Ho Dy
4 12 10
direct
0.000 0.668 0.711 Tb
0.000 0.332 0.289 Tb
0.000 0.168 0.789 Tb
0.000 0.832 0.211 Tb
0.500 0.826 0.366 Ho
0.000 0.559 0.419 Ho
0.500 0.674 0.866 Ho
0.000 0.918 0.632 Ho
0.000 0.941 0.919 Ho
0.500 0.174 0.634 Ho
0.500 0.326 0.134 Ho
0.000 0.441 0.581 Ho
0.000 0.582 0.132 Ho
0.000 0.082 0.368 Ho
0.000 0.059 0.081 Ho
0.000 0.418 0.868 Ho
0.500 0.089 0.226 Dy
0.500 0.801 0.050 Dy
0.500 0.589 0.274 Dy
0.500 0.699 0.550 Dy
0.500 0.301 0.450 Dy
0.500 0.911 0.774 Dy
0.500 0.500 0.000 Dy
0.500 0.411 0.726 Dy
0.500 0.199 0.950 Dy
0.500 0.000 0.500 Dy
```

Summary:
The value obtained for the energy is -4.497 eV per atom. The value obtained for the density of states at the Fermi level is 15.183 states/eV/f.u. The symmetry is No. 55.

---

Entry 14:
An optimized crystal structure of Tb4DyHo15, computed with PBE-GGA.

Structure (POSCAR):
```
Tb4DyHo15
1.0
4.985 0.000 0.000
0.000 4.985 0.000
0.000 0.000 24.915
Dy Ho Tb
1 15 4
direct
0.000 0.000 0.000 Dy
0.500 0.500 0.800 Ho
0.000 0.500 0.300 Ho
0.000 0.500 0.900 Ho
0.500 0.000 0.300 Ho
0.500 0.500 0.600 Ho
0.500 0.500 0.000 Ho
0.500 0.000 0.900 Ho
0.500 0.500 0.400 Ho
0.500 0.000 0.700 Ho
0.500 0.500 0.200 Ho
0.000 0.500 0.100 Ho
0.000 0.500 0.700 Ho
0.000 0.500 0.500 Ho
0.500 0.000 0.100 Ho
0.500 0.000 0.500 Ho
0.000 0.000 0.600 Tb
0.000 0.000 0.200 Tb
0.000 0.000 0.400 Tb
0.000 0.000 0.800 Tb
```

Summary:
The value obtained for the energy is -4.570 eV per atom. The value obtained for the density of states at the Fermi level is 25.676 states/eV/f.u. The symmetry is No. 123.

---

Entry 15:
An optimized crystal structure of TbDy3Ho6, computed with PBE-GGA.

Structure (POSCAR):
```
TbDy3Ho6
1.0
-2.993 -3.988 3.591
3.046 -8.160 -6.523
6.311 2.829 8.402
Dy Ho Tb
6 12 2
direct
0.570 0.610 0.390 Dy
0.957 0.720 0.938 Dy
0.457 0.938 0.720 Dy
0.457 0.280 0.062 Dy
0.070 0.390 0.610 Dy
0.957 0.062 0.280 Dy
0.534 0.618 0.711 Ho
0.917 0.047 0.953 Ho
0.034 0.382 0.289 Ho
0.863 0.461 0.041 Ho
0.642 0.283 0.717 Ho
0.417 0.953 0.047 Ho
0.363 0.041 0.461 Ho
0.142 0.717 0.283 Ho
0.034 0.711 0.618 Ho
0.363 0.539 0.959 Ho
0.863 0.959 0.539 Ho
0.534 0.289 0.382 Ho
0.647 0.793 0.207 Tb
0.147 0.207 0.793 Tb
```

Summary:
The value obtained for the energy is -4.441 eV per atom. The value obtained for the density of states at the Fermi level is 14.221 states/eV/f.u. The symmetry is No. 36.

---

Entry 16:
An optimized crystal structure of Tb2DyHo3, computed with PBE-GGA.

Structure (POSCAR):
```
Tb2DyHo3
1.0
3.478 0.000 0.000
1.739 8.805 0.170
1.739 2.093 12.513
Tb Dy Ho
4 2 6
direct
0.181 0.521 0.117 Tb
0.819 0.479 0.883 Tb
0.343 0.846 0.469 Tb
0.657 0.154 0.531 Tb
0.438 0.481 0.644 Dy
0.562 0.519 0.356 Dy
0.739 0.814 0.708 Ho
0.961 0.865 0.213 Ho
0.039 0.135 0.787 Ho
0.261 0.186 0.292 Ho
0.401 0.172 0.026 Ho
0.599 0.828 0.974 Ho
```

Summary:
The value obtained for the energy is -4.480 eV per atom. The value obtained for the density of states at the Fermi level is 9.657 states/eV/f.u. The symmetry is No. 12.

---

Entry 17:
An optimized crystal structure of Tb5Dy4Ho, computed with PBE-GGA.

Structure (POSCAR):
```
Tb5Dy4Ho
1.0
-2.222 0.768 -2.653
-3.919 -0.305 5.532
5.731 12.576 3.537
Tb Dy Ho
5 4 1
direct
0.067 0.417 0.616 Tb
0.774 0.876 0.585 Tb
0.933 0.583 0.384 Tb
0.500 0.500 0.000 Tb
0.226 0.124 0.415 Tb
0.639 0.174 0.791 Dy
0.119 0.296 0.192 Dy
0.881 0.704 0.808 Dy
0.361 0.826 0.209 Dy
0.500 0.000 0.000 Ho
```

Summary:
The value obtained for the energy is -4.554 eV per atom. The value obtained for the density of states at the Fermi level is 17.563 states/eV/f.u. The symmetry is No. 2.

---

Entry 18:
An optimized crystal structure of Tb5Dy2Ho3, computed with PBE-GGA.

Structure (POSCAR):
```
Tb5Dy2Ho3
1.0
8.414 1.712 -3.980
0.366 8.565 -4.051
-1.838 -2.072 10.729
Tb Dy Ho
10 4 6
direct
0.143 0.393 0.245 Tb
0.980 0.230 0.460 Tb
0.474 0.724 0.448 Tb
0.020 0.770 0.540 Tb
0.602 0.852 0.245 Tb
0.278 0.528 0.056 Tb
0.526 0.276 0.552 Tb
0.398 0.148 0.755 Tb
0.857 0.607 0.755 Tb
0.722 0.472 0.944 Tb
0.535 0.265 0.253 Dy
0.782 0.012 0.747 Dy
0.218 0.988 0.253 Dy
0.465 0.735 0.747 Dy
0.733 0.462 0.242 Ho
0.009 0.780 0.242 Ho
0.991 0.220 0.758 Ho
0.772 0.022 0.044 Ho
0.228 0.978 0.956 Ho
0.267 0.538 0.758 Ho
```

Summary:
The value obtained for the energy is -4.406 eV per atom. The value obtained for the density of states at the Fermi level is 19.735 states/eV/f.u. The symmetry is No. 15.